Entry 1:
KBr7: optimized geometry, GGA-PBE.

Summary:
D(E_F)   1.652 states/eV/atom
VASP energy   -1.502 eV per atom
Formation energy (no corrections)   99 meV/atom

Unit cell a=6.861 b=6.861 c=6.861 alpha=60.00 beta=60.00 gamma=60.00
Element x y z (fractional)
K: 0.000 0.000 0.000
Br: 0.000 0.000 0.500
Br: 0.000 0.500 0.000
Br: 0.000 0.500 0.500
Br: 0.500 0.000 0.000
Br: 0.500 0.000 0.500
Br: 0.500 0.500 0.000
Br: 0.500 0.500 0.500

***

Entry 2:
Ac2TmSn2: optimized geometry, GGA-PBE.

Summary:
D(E_F)   0.993 states/eV/atom
VASP energy   -4.780 eV per atom
DFT formation energy   -641 meV per atom

Unit cell a=6.661 b=6.661 c=6.661 alpha=137.62 beta=117.01 gamma=78.88
Element x y z (fractional)
Ac: 0.203 0.203 0.000
Ac: 0.797 0.797 0.000
Tm: 0.500 0.000 0.500
Sn: 0.222 0.500 0.722
Sn: 0.778 0.500 0.278

***

Entry 3:
BaInAs: optimized geometry, GGA-PBE.

Summary:
D(E_F)   0.566 states/eV/atom
VASP energy   -3.545 eV per atom
DFT formation energy   -442 meV per atom

Unit cell a=9.662 b=9.047 c=7.727 alpha=69.84 beta=61.51 gamma=48.65
Element x y z (fractional)
Ba: 0.032 0.032 0.718
Ba: 0.282 0.282 0.968
Ba: 0.718 0.718 0.032
Ba: 0.968 0.968 0.282
In: 0.000 0.500 0.500
In: 0.500 0.000 0.500
In: 0.500 0.500 0.000
In: 0.500 0.500 0.500
As: 0.116 0.634 0.634
As: 0.366 0.884 0.884
As: 0.634 0.116 0.116
As: 0.884 0.366 0.366

***

Entry 4:
TiMn2AsS: optimized geometry, GGA-PBE.

Summary:
D(E_F)   0.733 states/eV/atom
VASP energy   -6.701 eV per atom
Formation energy (no corrections)   302 meV/atom

Unit cell a=4.199 b=4.199 c=5.130 alpha=90.00 beta=90.00 gamma=90.00
Element x y z (fractional)
Ti: 0.000 0.000 0.000
Mn: 0.000 0.500 0.500
Mn: 0.500 0.000 0.500
As: 0.500 0.500 0.000
S: 0.500 0.500 0.500